Density functional theory data (PBE-GGA) for crystalline Fe2CuNiSe at its relaxed geometry.

POSCAR file:
```
Fe2CuNiSe
1.0
-1.607 -0.841 -3.975
-3.850 -1.212 1.813
-1.434 4.117 -0.292
Se Fe Ni Cu
1 2 1 1
direct
0.500 0.500 0.500
0.000 0.000 0.500
0.500 0.000 0.000
0.000 0.000 0.000
0.000 0.500 0.000
```

Output
The size of the total moment is 6.97 μB/cell. The value obtained for the formation energy without anion corrections is 0.82 eV per atom. The symmetry is No. 123.



Density functional theory data (PBE-GGA) for crystalline FeCuSiNi2 at its relaxed geometry.

POSCAR file:
```
FeCuSiNi2
1.0
-2.265 -2.374 -2.771
3.575 -1.738 -1.433
-0.334 -3.113 2.940
Si Ni Fe Cu
1 2 1 1
direct
0.000 0.500 0.000
0.000 0.000 0.500
0.500 0.000 0.000
0.000 0.000 0.000
0.500 0.500 0.500
```

Output
The size of the total moment is 3.37 μB/cell. The value obtained for the formation energy without anion corrections is 0.88 eV per atom. The symmetry is No. 123.



Density functional theory data (PBE-GGA) for crystalline TaFeCuNi at its relaxed geometry.

POSCAR file:
```
TaFeCuNi
1.0
4.159 0.000 0.000
2.080 3.602 0.000
2.080 1.201 3.396
Fe Ni Ta Cu
1 1 1 1
direct
0.000 0.000 0.000
0.500 0.500 0.500
0.750 0.750 0.750
0.250 0.250 0.250
```

Output
The size of the total moment is 0.00 μB/cell. The symmetry is No. 216. The value obtained for the formation energy is -0.04 eV per atom.



Density functional theory data (PBE-GGA) for crystalline Th2Fe2CuNi5 at its relaxed geometry.

POSCAR file:
```
Th2Fe2CuNi5
1.0
-2.384 -2.090 -2.315
3.586 -7.362 2.955
-5.916 -0.320 6.380
Fe Th Ni Cu
4 4 10 2
direct
0.000 0.890 0.390
0.000 0.610 0.890
0.000 0.390 0.110
0.000 0.110 0.610
0.000 0.314 0.814
0.000 0.814 0.686
0.000 0.186 0.314
0.000 0.686 0.186
0.500 0.558 0.706
0.500 0.000 0.500
0.500 0.942 0.206
0.500 0.206 0.058
0.500 0.294 0.558
0.500 0.794 0.942
0.500 0.706 0.442
0.500 0.500 0.000
0.500 0.058 0.794
0.500 0.442 0.294
0.000 0.500 0.500
0.000 0.000 0.000
```

Output
The size of the total moment is 7.89 μB/cell. The symmetry is No. 127. The value obtained for the formation energy is -0.14 eV per atom.



Density functional theory data (PBE-GGA) for crystalline FeCuNiW at its relaxed geometry.

POSCAR file:
```
FeCuNiW
1.0
4.121 0.000 0.000
2.061 3.569 0.000
2.061 1.190 3.365
W Ni Fe Cu
1 1 1 1
direct
0.750 0.750 0.750
0.000 0.000 0.000
0.500 0.500 0.500
0.250 0.250 0.250
```

Output
The size of the total moment is 0.98 μB/cell. The symmetry is No. 216. The value obtained for the formation energy is 0.17 eV per atom.



Density functional theory data (PBE-GGA) for crystalline ZnFeCuNi at its relaxed geometry.

POSCAR file:
```
ZnFeCuNi
1.0
4.091 0.000 0.000
2.046 3.543 0.000
2.046 1.181 3.341
Ni Cu Fe Zn
1 1 1 1
direct
0.500 0.500 0.500
0.000 0.000 0.000
0.250 0.250 0.250
0.750 0.750 0.750
```

Output
The size of the total moment is 2.88 μB/cell. The symmetry is No. 216. The value obtained for the formation energy is 0.00 eV per atom.



Density functional theory data (PBE-GGA) for crystalline NpFeCu at its relaxed geometry.

POSCAR file:
```
NpFeCu
1.0
4.430 0.000 -0.752
0.000 4.255 0.000
-2.140 0.000 5.199
Np Cu Fe
2 2 2
direct
0.800 0.250 0.508
0.200 0.750 0.492
0.439 0.750 0.080
0.561 0.250 0.920
0.784 0.750 0.820
0.216 0.250 0.180
```

Output
The size of the total moment is 3.55 μB/cell. The symmetry is No. 11. The value obtained for the formation energy is 0.20 eV per atom.



Density functional theory data (PBE-GGA) for crystalline NpFe2Cu at its relaxed geometry.

POSCAR file:
```
NpFe2Cu
1.0
3.475 0.000 0.000
0.000 4.004 0.000
0.000 0.000 4.004
Np Fe Cu
1 2 1
direct
0.500 0.500 0.500
0.000 0.500 0.000
0.000 0.000 0.500
0.500 0.000 0.000
```

Output
The size of the total moment is 0.42 μB/cell. The symmetry is No. 123. The value obtained for the formation energy is 0.10 eV per atom.



Listing Fermi-level density of states for the structures above in their given order: 4.39; 4.23; 0.50; 19.34; 3.29; 1.74; 8.80; 4.37 states/eV per cell.
Listing uncorrected energy for the structures above in their given order: -5.237; -5.026; -7.589; -6.613; -7.653; -4.905; -8.299; -8.393 eV/atom.
Listing calculated volume for the structures above in their given order: 84.5; 78.0; 50.9; 297.6; 49.5; 48.4; 91.2; 55.7 Å³/cell.